Here is crystalline LiTa2Br at its relaxed geometry from the Alexandria database. Energies are from PBE.

Summary:
Fermi-level density of states, states/eV per cell: 4.36
ΔE_f (raw), meV/atom: 589
Energy relative to the lowest polymorph listed for this composition, eV per atom: 0.531
M_tot, μB per formula unit: 0.001
Space group: Imm2, No. 44

Unit cell a=5.410 b=5.410 c=5.410 alpha=146.62 beta=124.39 gamma=66.43
Fractional coordinates of all 4 atoms:
Li1 0.270 0.770 0.500
Ta1 0.735 0.235 0.500
Ta2 0.000 0.000 0.000
Br1 0.495 0.495 0.000